[1]
{
  "formula": "Ce2YPb3",
  "functional": "PBE",
  "state": "relaxed",
  "final_energy_ev_per_atom": -5.319,
  "formation_enthalpy_0k_ev_per_atom": -0.409,
  "magnetic_moment_mub_per_cell": 5.5,
  "e_above_lowest_polymorph_kj_per_mol_fu": 0,
  "vol_a3_per_atom": 29.45,
  "cell": [[5.854, 0.000, 0.023], [2.927, 8.786, 0.011], [-0.026, 0.000, 6.871]],
  "species": ["Ce", "Ce", "Ce", "Ce", "Y", "Y", "Pb", "Pb", "Pb", "Pb", "Pb", "Pb"],
  "frac_coords": [[0.000, 0.000, 0.000], [0.000, 0.000, 0.500], [0.334, 0.331, 0.500], [0.666, 0.669, 0.500], [0.332, 0.335, 0.000], [0.668, 0.665, 0.000], [0.832, 0.336, 0.759], [0.500, 0.000, 0.242], [0.168, 0.664, 0.241], [0.832, 0.336, 0.241], [0.168, 0.664, 0.759], [0.500, 0.000, 0.758]]
}

[2]
{
  "formula": "CeYPb",
  "functional": "PBE",
  "state": "relaxed",
  "final_energy_ev_per_atom": -5.528,
  "formation_enthalpy_0k_ev_per_atom": -0.160,
  "magnetic_moment_mub_per_cell": 2.0,
  "vol_a3_per_atom": 30.78,
  "cell": [[3.663, 0.000, 0.000], [0.000, 5.396, 0.000], [0.000, -2.698, 4.673]],
  "species": ["Pb", "Y", "Ce"],
  "frac_coords": [[0.947, 0.000, 0.000], [0.753, 0.333, 0.667], [0.300, 0.667, 0.333]]
}